No. 1
Ce3PmTh2S6: relaxed, PBE.

a = 6.987 Å, b = 6.987 Å, c = 6.956 Å
α = 99.62°, β = 99.62°, γ = 119.94°
Element x y z (fractional)
1 Ce 0.000 0.000 0.000
2 Ce 0.334 0.666 0.000
3 Ce 0.666 0.334 0.000
4 Pm 0.500 0.500 0.500
5 Th 0.167 0.833 0.500
6 Th 0.833 0.167 0.500
7 S 0.084 0.416 0.249
8 S 0.251 0.251 0.752
9 S 0.416 0.084 0.249
10 S 0.584 0.916 0.751
11 S 0.749 0.749 0.248
12 S 0.916 0.584 0.751

Calculated values
The calculation puts the density of states at the Fermi level at 16.8 states/eV/f.u.


No. 2
Ce2PmThS4: relaxed, PBE.

a = 6.958 Å, b = 4.037 Å, c = 6.988 Å
α = 90.00°, β = 109.55°, γ = 90.00°
Element x y z (fractional)
1 Ce 0.000 0.000 0.000
2 Ce 0.000 0.500 0.500
3 Pm 0.500 0.000 0.500
4 Th 0.500 0.500 0.000
5 S 0.249 0.000 0.748
6 S 0.250 0.500 0.251
7 S 0.750 0.500 0.749
8 S 0.751 0.000 0.252

Calculated values
The calculation puts the density of states at the Fermi level at 11.3 states/eV/f.u.


No. 3
CePm2Th3S6: relaxed, PBE.

a = 9.044 Å, b = 9.044 Å, c = 8.069 Å
α = 103.57°, β = 103.57°, γ = 25.77°
Element x y z (fractional)
1 Ce 0.000 0.000 0.000
2 Pm 0.334 0.334 0.668
3 Pm 0.666 0.666 0.332
4 Th 0.000 0.000 0.500
5 Th 0.333 0.333 0.165
6 Th 0.667 0.667 0.835
7 S 0.166 0.166 0.086
8 S 0.168 0.168 0.582
9 S 0.499 0.499 0.752
10 S 0.501 0.501 0.248
11 S 0.832 0.832 0.418
12 S 0.834 0.834 0.914

Calculated values
The calculation puts the density of states at the Fermi level at 10.1 states/eV/f.u.


No. 4
Ce3Pm4ThS8: relaxed, PBE.

a = 8.074 Å, b = 8.074 Å, c = 8.074 Å
α = 59.78°, β = 59.78°, γ = 59.78°
Element x y z (fractional)
1 Ce 0.000 0.500 0.500
2 Ce 0.500 0.000 0.500
3 Ce 0.500 0.500 0.000
4 Pm 0.000 0.000 0.500
5 Pm 0.000 0.500 0.000
6 Pm 0.500 0.000 0.000
7 Pm 0.500 0.500 0.500
8 Th 0.000 0.000 0.000
9 S 0.250 0.250 0.250
10 S 0.250 0.749 0.749
11 S 0.251 0.251 0.750
12 S 0.251 0.750 0.251
13 S 0.749 0.250 0.749
14 S 0.749 0.749 0.250
15 S 0.750 0.251 0.251
16 S 0.750 0.750 0.750

Calculated values
The calculation puts the density of states at the Fermi level at 18.6 states/eV/f.u.


No. 5
Ce3Pm2ThS6: relaxed, PBE.

a = 9.008 Å, b = 9.008 Å, c = 8.053 Å
α = 102.82°, β = 102.82°, γ = 25.87°
Element x y z (fractional)
1 Ce 0.000 0.000 0.000
2 Ce 0.334 0.334 0.666
3 Ce 0.666 0.666 0.334
4 Pm 0.333 0.333 0.167
5 Pm 0.667 0.667 0.833
6 Th 0.000 0.000 0.500
7 S 0.167 0.167 0.084
8 S 0.167 0.167 0.584
9 S 0.500 0.500 0.248
10 S 0.500 0.500 0.752
11 S 0.833 0.833 0.416
12 S 0.833 0.833 0.916

Calculated values
The calculation puts the density of states at the Fermi level at 17.2 states/eV/f.u.


No. 6
CePmTl2S4: relaxed, PBE.

a = 7.231 Å, b = 4.177 Å, c = 7.863 Å
α = 90.00°, β = 107.78°, γ = 90.00°
Element x y z (fractional)
1 Ce 0.000 0.000 0.000
2 Pm 0.500 0.500 0.000
3 Tl 0.000 0.500 0.500
4 Tl 0.500 0.000 0.500
5 S 0.235 0.500 0.202
6 S 0.267 0.000 0.798
7 S 0.733 0.000 0.202
8 S 0.765 0.500 0.798

Calculated values
The calculation puts the density of states at the Fermi level at 6.5 states/eV/f.u.


No. 7
CePm3Tl4S8: relaxed, PBE.

a = 8.906 Å, b = 8.906 Å, c = 8.906 Å
α = 55.78°, β = 55.78°, γ = 55.78°
Element x y z (fractional)
1 Ce 0.000 0.000 0.000
2 Pm 0.000 0.500 0.500
3 Pm 0.500 0.000 0.500
4 Pm 0.500 0.500 0.000
5 Tl 0.000 0.000 0.500
6 Tl 0.000 0.500 0.000
7 Tl 0.500 0.000 0.000
8 Tl 0.500 0.500 0.500
9 S 0.235 0.235 0.733
10 S 0.235 0.733 0.235
11 S 0.266 0.266 0.266
12 S 0.267 0.765 0.765
13 S 0.733 0.235 0.235
14 S 0.734 0.734 0.734
15 S 0.765 0.267 0.765
16 S 0.765 0.765 0.267

Calculated values
The calculation puts the density of states at the Fermi level at 5.7 states/eV/f.u.


No. 8
CePmTm2S4: relaxed, PBE.

a = 6.761 Å, b = 3.892 Å, c = 6.928 Å
α = 90.00°, β = 108.89°, γ = 90.00°
Element x y z (fractional)
1 Ce 0.000 0.000 0.000
2 Pm 0.500 0.500 0.000
3 Tm 0.000 0.500 0.500
4 Tm 0.500 0.000 0.500
5 S 0.244 0.000 0.732
6 S 0.256 0.500 0.268
7 S 0.744 0.500 0.732
8 S 0.756 0.000 0.268

Calculated values
The calculation puts the density of states at the Fermi level at 7.2 states/eV/f.u.


No. 9
CePm3Tm2S6: relaxed, PBE.

a = 6.863 Å, b = 6.863 Å, c = 6.900 Å
α = 99.59°, β = 99.59°, γ = 120.12°
Element x y z (fractional)
1 Ce 0.000 0.000 0.000
2 Pm 0.164 0.836 0.500
3 Pm 0.500 0.500 0.500
4 Pm 0.836 0.164 0.500
5 Tm 0.333 0.667 0.000
6 Tm 0.667 0.333 0.000
7 S 0.079 0.422 0.238
8 S 0.264 0.264 0.764
9 S 0.422 0.079 0.238
10 S 0.578 0.921 0.762
11 S 0.736 0.736 0.236
12 S 0.921 0.578 0.762

Calculated values
The calculation puts the density of states at the Fermi level at 8.2 states/eV/f.u.


No. 10
Ce2PmTmS5: relaxed, PBE.

a = 4.843 Å, b = 4.843 Å, c = 10.453 Å
α = 90.00°, β = 90.00°, γ = 90.00°
Element x y z (fractional)
1 Ce 0.000 0.000 0.196
2 Ce 0.000 0.000 0.804
3 Pm 0.500 0.500 0.500
4 Tm 0.500 0.500 0.000
5 S 0.000 0.000 0.500
6 S 0.000 0.500 0.000
7 S 0.500 0.000 0.000
8 S 0.500 0.500 0.250
9 S 0.500 0.500 0.750

Calculated values
The calculation puts the density of states at the Fermi level at 18.1 states/eV/f.u.


No. 11
Ce4PmTm3S8: relaxed, PBE.

a = 7.959 Å, b = 7.959 Å, c = 7.959 Å
α = 59.33°, β = 59.33°, γ = 59.33°
Element x y z (fractional)
1 Ce 0.000 0.000 0.000
2 Ce 0.000 0.500 0.500
3 Ce 0.500 0.000 0.500
4 Ce 0.500 0.500 0.000
5 Pm 0.500 0.500 0.500
6 Tm 0.000 0.000 0.500
7 Tm 0.000 0.500 0.000
8 Tm 0.500 0.000 0.000
9 S 0.238 0.750 0.750
10 S 0.244 0.244 0.244
11 S 0.250 0.250 0.762
12 S 0.250 0.762 0.250
13 S 0.750 0.238 0.750
14 S 0.750 0.750 0.238
15 S 0.756 0.756 0.756
16 S 0.762 0.250 0.250

Calculated values
The calculation puts the density of states at the Fermi level at 21.2 states/eV/f.u.


No. 12
Ce3Pm2YS6: relaxed, PBE.

a = 6.943 Å, b = 6.943 Å, c = 6.966 Å
α = 99.58°, β = 99.58°, γ = 120.02°
Element x y z (fractional)
1 Ce 0.000 0.000 0.000
2 Ce 0.331 0.669 0.000
3 Ce 0.669 0.331 0.000
4 Pm 0.166 0.834 0.500
5 Pm 0.834 0.166 0.500
6 Y 0.500 0.500 0.500
7 S 0.091 0.418 0.255
8 S 0.255 0.255 0.748
9 S 0.418 0.091 0.255
10 S 0.582 0.909 0.745
11 S 0.745 0.745 0.252
12 S 0.909 0.582 0.745

Calculated values
The calculation puts the density of states at the Fermi level at 16.8 states/eV/f.u.


E_form (uncorrected) in eV/atom, matching the order above: -1.980 -1.996 -1.936 -2.017 -2.010 -1.431 -1.447 -1.999 -2.007 -1.537 -2.009 -2.039
Total magnetization in μB/atom, matching the order above: 0.13 0.15 0.03 0.12 0.17 0.13 0.06 0.10 0.05 0.37 0.17 0.21
DFT total energy in eV per atom, matching the order above: -7.159 -7.064 -7.141 -6.844 -6.967 -5.421 -5.364 -6.516 -6.498 -6.174 -6.691 -6.917